# GaBiOs2 | Alexandria via LeMat-Bulk | PBE-GGA | optimized geometry
# E_tot: -26.74 eV per cell
data_GaBiOs2
_chemical_formula_sum 'Ga1 Bi1 Os2'
_cell_length_a 4.565
_cell_length_b 4.565
_cell_length_c 4.565
_cell_angle_alpha 60.00
_cell_angle_beta 60.00
_cell_angle_gamma 60.00
_symmetry_space_group_name_H-M 'P 1'
_symmetry_Int_Tables_number 1
loop_
_symmetry_equiv_pos_as_xyz
'x,y,z'
loop_
_atom_site_label
_atom_site_type_symbol
_atom_site_fract_x
_atom_site_fract_y
_atom_site_fract_z
_atom_site_occupancy
Ga1 Ga 0.000 0.000 0.000 1
Os1 Os 0.250 0.250 0.250 1
Os2 Os 0.750 0.750 0.750 1
Bi1 Bi 0.500 0.500 0.500 1


# GaBi3Os | Alexandria via LeMat-Bulk | PBE-GGA | optimized geometry
# E_tot: -18.08 eV per cell
data_GaBi3Os
_chemical_formula_sum 'Ga1 Bi3 Os1'
_cell_length_a 5.317
_cell_length_b 5.317
_cell_length_c 5.317
_cell_angle_alpha 90.00
_cell_angle_beta 90.00
_cell_angle_gamma 90.00
_symmetry_space_group_name_H-M 'P 1'
_symmetry_Int_Tables_number 1
loop_
_symmetry_equiv_pos_as_xyz
'x,y,z'
loop_
_atom_site_label
_atom_site_type_symbol
_atom_site_fract_x
_atom_site_fract_y
_atom_site_fract_z
_atom_site_occupancy
Bi1 Bi 0.000 0.000 0.500 1
Bi2 Bi 0.500 0.000 0.000 1
Bi3 Bi 0.000 0.500 0.000 1
Os1 Os 0.500 0.500 0.500 1
Ga1 Ga 0.000 0.000 0.000 1


# Ga3BiOs | Alexandria via LeMat-Bulk | PBE-GGA | optimized geometry
# E_tot: -22.85 eV per cell
data_Ga3BiOs
_chemical_formula_sum 'Ga3 Bi1 Os1'
_cell_length_a 4.893
_cell_length_b 4.893
_cell_length_c 4.893
_cell_angle_alpha 90.00
_cell_angle_beta 90.00
_cell_angle_gamma 90.00
_symmetry_space_group_name_H-M 'P 1'
_symmetry_Int_Tables_number 1
loop_
_symmetry_equiv_pos_as_xyz
'x,y,z'
loop_
_atom_site_label
_atom_site_type_symbol
_atom_site_fract_x
_atom_site_fract_y
_atom_site_fract_z
_atom_site_occupancy
Ga1 Ga 0.000 0.500 0.000 1
Ga2 Ga 0.000 0.000 0.500 1
Ga3 Ga 0.500 0.000 0.000 1
Bi1 Bi 0.500 0.500 0.500 1
Os1 Os 0.000 0.000 0.000 1


# GaBiOs2 | Alexandria via LeMat-Bulk | PBE-GGA | optimized geometry
# E_tot: -52.18 eV per cell
data_GaBiOs2
_chemical_formula_sum 'Ga2 Bi2 Os4'
_cell_length_a 4.368
_cell_length_b 4.368
_cell_length_c 9.372
_cell_angle_alpha 76.53
_cell_angle_beta 76.53
_cell_angle_gamma 90.00
_symmetry_space_group_name_H-M 'P 1'
_symmetry_Int_Tables_number 1
loop_
_symmetry_equiv_pos_as_xyz
'x,y,z'
loop_
_atom_site_label
_atom_site_type_symbol
_atom_site_fract_x
_atom_site_fract_y
_atom_site_fract_z
_atom_site_occupancy
Ga1 Ga 0.250 0.750 0.500 1
Ga2 Ga 0.500 0.500 0.000 1
Bi1 Bi 0.000 0.000 0.000 1
Bi2 Bi 0.750 0.250 0.500 1
Os1 Os 0.875 0.757 0.750 1
Os2 Os 0.375 0.493 0.750 1
Os3 Os 0.243 0.625 0.250 1
Os4 Os 0.507 0.125 0.250 1